# Ga2Si2S

Crystalline Ga2Si2S at its relaxed geometry (PBE, the Alexandria database).

a b c (Å): 14.116 3.727 4.242
angles (deg): 90.00 90.00 90.00
Element x y z (fractional)
1 Ga 0.385 0.000 0.338
2 Ga 0.615 0.000 0.338
3 Ga 0.885 0.500 0.338
4 Ga 0.115 0.500 0.338
5 Si 0.700 0.000 0.837
6 Si 0.300 0.000 0.837
7 Si 0.200 0.500 0.837
8 Si 0.800 0.500 0.837
9 S 0.000 0.000 0.252
10 S 0.500 0.500 0.252

Results
E   -4.2985 eV per atom
Excess energy over the best structure of this formula in the dataset   15.6 meV per atom


# GaSi2S

Crystalline GaSi2S at its relaxed geometry (PBE, the Alexandria database).

a b c (Å): 3.830 4.367 4.914
angles (deg): 90.00 90.00 90.00
Element x y z (fractional)
1 Ga 0.500 0.000 0.896
2 Si 0.500 0.500 0.118
3 Si 0.000 0.500 0.401
4 S 0.000 0.000 0.582

Results
E   -4.5809 eV per atom
Excess energy over the best structure of this formula in the dataset   26.0 meV per atom